Record 1
Nd6SmHo3Er2 | PBE | optimized geometry

- Symmetry: No. 12
- Formation enthalpy at 0 K: 0.15 eV/f.u.
- Total moment: 0.000 μB/atom

a b c (Å): 6.266 6.266 11.848
angles (deg): 95.04 95.04 120.00
Atoms (fractional coordinates):
Nd (0.082, 0.416, 0.249)
Nd (0.250, 0.250, 0.751)
Nd (0.416, 0.082, 0.249)
Nd (0.584, 0.918, 0.751)
Nd (0.750, 0.750, 0.249)
Nd (0.918, 0.584, 0.751)
Sm (0.500, 0.500, 0.500)
Ho (0.000, 0.000, 0.000)
Ho (0.333, 0.667, 0.000)
Ho (0.667, 0.333, 0.000)
Er (0.167, 0.833, 0.500)
Er (0.833, 0.167, 0.500)

Record 2
Ca2FeHN | PBE | optimized geometry

- Symmetry: No. 123
- Total moment: 0.336 μB/atom
- Raw total energy: -4.186 eV/atom

a b c (Å): 4.963 4.963 3.136
angles (deg): 90.00 90.00 90.00
Atoms (fractional coordinates):
Ca (0.000, 0.500, 0.000)
Ca (0.500, 0.000, 0.000)
Fe (0.000, 0.000, 0.000)
H (0.000, 0.000, 0.500)
N (0.500, 0.500, 0.500)

Record 3
PaAl2Tc2 | PBE | optimized geometry

- Symmetry: No. 11
- Formation enthalpy at 0 K: -1.21 eV/f.u.
- Total moment: 0.000 μB/atom

a b c (Å): 3.830 3.964 12.066
angles (deg): 90.00 91.97 90.00
Atoms (fractional coordinates):
Pa (0.218, 0.250, 0.275)
Pa (0.782, 0.750, 0.725)
Al (0.250, 0.750, 0.501)
Al (0.308, 0.250, 0.861)
Al (0.692, 0.750, 0.139)
Al (0.750, 0.250, 0.499)
Tc (0.187, 0.750, 0.997)
Tc (0.267, 0.250, 0.651)
Tc (0.733, 0.750, 0.349)
Tc (0.813, 0.250, 0.003)

Record 4
SbRh2W | PBE | optimized geometry

- Symmetry: No. 166
- Uncorrected formation energy: 81 meV/atom
- Total moment: 0.000 μB/atom

a b c (Å): 2.969 2.969 26.093
angles (deg): 90.00 90.00 120.00
Atoms (fractional coordinates):
Sb (0.000, 0.000, 0.000)
Sb (0.333, 0.667, 0.667)
Sb (0.667, 0.333, 0.333)
Rh (0.000, 0.000, 0.248)
Rh (0.000, 0.000, 0.752)
Rh (0.333, 0.667, 0.418)
Rh (0.333, 0.667, 0.915)
Rh (0.667, 0.333, 0.085)
Rh (0.667, 0.333, 0.582)
W (0.000, 0.000, 0.500)
W (0.333, 0.667, 0.167)
W (0.667, 0.333, 0.833)

Record 5
LiInGe4 | PBE | optimized geometry

- Symmetry: No. 216
- Formation enthalpy at 0 K: 0.65 eV/f.u.
- Total moment: 0.000 μB/atom

a b c (Å): 5.618 5.618 5.618
angles (deg): 60.00 60.00 60.00
Atoms (fractional coordinates):
Li (0.000, 0.000, 0.000)
In (0.250, 0.250, 0.250)
Ge (0.123, 0.626, 0.626)
Ge (0.626, 0.123, 0.626)
Ge (0.626, 0.626, 0.123)
Ge (0.626, 0.626, 0.626)

Record 6
MgRhN | PBE | optimized geometry

- Symmetry: No. 42
- Uncorrected formation energy: 94 meV/atom
- Total moment: 0.000 μB/atom

a b c (Å): 5.068 4.391 5.125
angles (deg): 63.81 51.04 65.15
Atoms (fractional coordinates):
Mg (0.248, 0.752, 0.248)
Mg (0.752, 0.248, 0.752)
Rh (0.555, 0.984, 0.445)
Rh (0.984, 0.555, 0.016)
N (0.070, 0.070, 0.930)
N (0.515, 0.515, 0.485)

Record 7
BaScIr2 | PBE | optimized geometry

- Energy relative to the lowest polymorph listed for this composition: 2.373 eV/f.u.
- Symmetry: No. 119
- Formation enthalpy at 0 K: 1.19 eV/f.u.
- Total moment: 0.000 μB/atom

a b c (Å): 4.238 4.238 9.399
angles (deg): 90.00 90.00 90.00
Atoms (fractional coordinates):
Ba (0.000, 0.000, 0.000)
Ba (0.500, 0.500, 0.500)
Sc (0.000, 0.500, 0.250)
Sc (0.500, 0.000, 0.750)
Ir (0.000, 0.000, 0.500)
Ir (0.000, 0.500, 0.750)
Ir (0.500, 0.000, 0.250)
Ir (0.500, 0.500, 0.000)

Record 8
FeBi2Os | PBE | optimized geometry

- Energy relative to the lowest polymorph listed for this composition: 1.348 eV/f.u.
- Symmetry: No. 122
- Formation enthalpy at 0 K: 5.14 eV/f.u.
- Total moment: 0.000 μB/atom

a b c (Å): 6.014 6.014 12.036
angles (deg): 90.00 90.00 90.00
Atoms (fractional coordinates):
Fe (0.000, 0.000, 0.000)
Fe (0.000, 0.500, 0.250)
Fe (0.500, 0.000, 0.750)
Fe (0.500, 0.500, 0.500)
Bi (0.236, 0.250, 0.125)
Bi (0.250, 0.736, 0.375)
Bi (0.250, 0.764, 0.875)
Bi (0.264, 0.250, 0.625)
Bi (0.736, 0.750, 0.625)
Bi (0.750, 0.236, 0.875)
Bi (0.750, 0.264, 0.375)
Bi (0.764, 0.750, 0.125)
Os (0.000, 0.000, 0.500)
Os (0.000, 0.500, 0.750)
Os (0.500, 0.000, 0.250)
Os (0.500, 0.500, 0.000)